Record 1
# TaTiNbSn, optimized geometry, DFT PBE
# Symmetry ... F-43m (216)
# Theoretical density ... 9.92 g/cm³
# Excess energy over the best structure of this formula in the dataset ... 0.00 eV per formula unit
data_TaTiNbSn
_cell_length_a 4.706
_cell_length_b 4.706
_cell_length_c 4.706
_cell_angle_alpha 60.00
_cell_angle_beta 60.00
_cell_angle_gamma 60.00
_space_group_name_H-M_alt 'P 1'
_space_group_IT_number 1
loop_
_space_group_symop_operation_xyz
'x,y,z'
loop_
_atom_site_label
_atom_site_type_symbol
_atom_site_fract_x
_atom_site_fract_y
_atom_site_fract_z
_atom_site_occupancy
Ta1 Ta 0.000 0.000 0.000 1
Ti1 Ti 0.750 0.750 0.750 1
Nb1 Nb 0.250 0.250 0.250 1
Sn1 Sn 0.500 0.500 0.500 1


Record 2
# TaTiNbSn, optimized geometry, DFT PBE
# Symmetry ... Amm2 (38)
# Theoretical density ... 9.46 g/cm³
# Excess energy over the best structure of this formula in the dataset ... 0.59 eV per formula unit
data_TaTiNbSn
_cell_length_a 4.566
_cell_length_b 5.513
_cell_length_c 5.513
_cell_angle_alpha 33.87
_cell_angle_beta 90.00
_cell_angle_gamma 90.00
_space_group_name_H-M_alt 'P 1'
_space_group_IT_number 1
loop_
_space_group_symop_operation_xyz
'x,y,z'
loop_
_atom_site_label
_atom_site_type_symbol
_atom_site_fract_x
_atom_site_fract_y
_atom_site_fract_z
_atom_site_occupancy
Ta1 Ta 0.000 0.000 0.000 1
Ti1 Ti 0.000 0.252 0.252 1
Nb1 Nb 0.500 0.553 0.553 1
Sn1 Sn 0.500 0.821 0.821 1


Record 3
# TaNbVSn, optimized geometry, DFT PBE
# Symmetry ... F-43m (216)
# Theoretical density ... 10.31 g/cm³
data_TaNbVSn
_cell_length_a 4.658
_cell_length_b 4.658
_cell_length_c 4.658
_cell_angle_alpha 60.00
_cell_angle_beta 60.00
_cell_angle_gamma 60.00
_space_group_name_H-M_alt 'P 1'
_space_group_IT_number 1
loop_
_space_group_symop_operation_xyz
'x,y,z'
loop_
_atom_site_label
_atom_site_type_symbol
_atom_site_fract_x
_atom_site_fract_y
_atom_site_fract_z
_atom_site_occupancy
Ta1 Ta 0.000 0.000 0.000 1
Nb1 Nb 0.250 0.250 0.250 1
V1 V 0.750 0.750 0.750 1
Sn1 Sn 0.500 0.500 0.500 1


no.,energy (eV per atom)
1,-8.563
2,-8.416
3,-8.710